[1]
Computed, not measured: a geometry-optimized Li2PuNiO6 structure at the GGA+U level of DFT.

abc: 4.0654 5.7713 5.7713
angles: 90.00 90.00 90.00
Site moments in Bohr magnetons follow the coordinates.
Fractional coordinates of all 10 atoms:
Pu 0.7244 0.5000 0.5000  1.57
Li 0.8068 0.0000 0.5000  0.00
Li 0.8068 0.5000 0.0000  0.00
Ni 0.7171 0.0000 0.0000  1.80
O 0.2259 0.5000 0.5000  -0.08
O 0.7362 0.2575 0.2575  -0.05
O 0.7362 0.2575 0.7425  -0.05
O 0.7362 0.7425 0.7425  -0.05
O 0.7362 0.7425 0.2575  -0.05
O 0.2213 0.0000 0.0000  0.74

The total DFT energy (no corrections) is -6.73 eV/atom.

---

[2]
Computed, not measured: a geometry-optimized Li4Pu3NiO12 structure at the GGA+U level of DFT.

abc: 6.8685 6.8685 6.8685
angles: 106.88 106.88 106.88
Site moments in Bohr magnetons follow the coordinates.
Fractional coordinates of all 20 atoms:
O 0.3368 0.6632 0.5000  -0.12
O 0.6720 0.7662 0.0346  -0.11
O 0.3280 0.9654 0.2338  -0.11
O 0.5000 0.1084 0.8916  -0.13
O 0.7662 0.0346 0.6720  -0.11
O 0.1084 0.8916 0.5000  -0.13
O 0.6632 0.5000 0.3368  -0.12
O 0.2338 0.3280 0.9654  -0.11
O 0.0346 0.6720 0.7662  -0.11
O 0.8916 0.5000 0.1084  -0.13
O 0.9654 0.2338 0.3280  -0.11
O 0.5000 0.3368 0.6632  -0.12
Pu 0.0000 0.5544 0.4456  2.54
Pu 0.5544 0.4456 0.0000  2.54
Pu 0.4456 0.0000 0.5544  2.54
Li 0.9392 0.0608 0.5000  0.00
Li 0.5000 0.9392 0.0608  0.00
Li 0.5000 0.5000 0.5000  0.00
Li 0.0608 0.5000 0.9392  0.00
Ni 0.0000 0.0000 0.0000  1.82

The total DFT energy (no corrections) is -7.66 eV/atom.

---

[3]
Computed, not measured: a geometry-optimized Li2PuNiO8 structure at the GGA+U level of DFT.

abc: 4.4021 4.4021 8.5606
angles: 90.00 90.00 120.00
Site moments in Bohr magnetons follow the coordinates.
Fractional coordinates of all 12 atoms:
O 0.3333 0.6667 0.0130  0.73
O 0.3378 0.0120 0.6457  0.34
O 0.0120 0.6742 0.3543  0.34
O 0.6742 0.6622 0.6457  0.34
O 0.9880 0.3258 0.6457  0.34
O 0.3258 0.3378 0.3543  0.34
O 0.6622 0.9880 0.3543  0.34
O 0.6667 0.3333 0.9870  0.73
Pu 0.0000 0.0000 0.5000  -0.08
Ni 0.0000 0.0000 0.0000  1.78
Li 0.3333 0.6667 0.7878  0.00
Li 0.6667 0.3333 0.2122  0.00

The total DFT energy (no corrections) is -5.75 eV/atom.

---

[4]
Computed, not measured: a geometry-optimized RbLi7Ni2O6 structure at the GGA+U level of DFT.

abc: 5.3888 5.3888 10.0536
angles: 87.54 87.54 39.84
Site moments in Bohr magnetons follow the coordinates.
Fractional coordinates of all 16 atoms:
Li 0.1760 0.1760 0.7354  0.00
Li 0.8240 0.8240 0.2646  0.00
Li 0.2678 0.2678 0.0965  0.01
Li 0.2474 0.2474 0.4143  0.01
Li 0.7322 0.7322 0.9035  0.01
Li 0.7526 0.7526 0.5857  0.01
Li 0.5000 0.5000 0.5000  0.00
O 0.6927 0.6927 0.1070  0.11
O 0.6085 0.6085 0.7433  0.09
O 0.3915 0.3915 0.2567  0.09
O 0.3319 0.3319 0.5900  0.10
O 0.3073 0.3073 0.8930  0.11
O 0.6681 0.6681 0.4100  0.10
Ni 0.5744 0.5744 0.2533  1.62
Ni 0.4256 0.4256 0.7467  1.62
Rb 0.0000 0.0000 0.0000  0.00

The total DFT energy (no corrections) is -4.58 eV/atom.

---

[5]
Computed, not measured: a geometry-optimized Li2ReNi2O6 structure at the GGA+U level of DFT.

abc: 5.1454 5.1454 5.5185
angles: 105.80 105.80 111.30
Site moments in Bohr magnetons follow the coordinates.
Fractional coordinates of all 11 atoms:
O 0.0393 0.3702 0.7468  -0.04
O 0.2346 0.2346 0.3240  0.03
O 0.6298 0.9607 0.2532  -0.04
O 0.9607 0.6298 0.2532  -0.04
O 0.3702 0.0393 0.7468  -0.04
O 0.7654 0.7654 0.6760  0.03
Re 0.0000 0.0000 0.5000  -0.74
Li 0.1849 0.8151 0.0000  0.00
Li 0.8151 0.1849 0.0000  0.00
Ni 0.6646 0.3354 0.5000  -0.04
Ni 0.3354 0.6646 0.5000  -0.04

The total DFT energy (no corrections) is -5.96 eV/atom.

---

[6]
Computed, not measured: a geometry-optimized LiNi2RhO4 structure at the GGA+U level of DFT.

abc: 3.0315 5.1056 5.1614
angles: 108.59 90.00 90.00
Site moments in Bohr magnetons follow the coordinates.
Fractional coordinates of all 8 atoms:
Ni 0.5000 0.0000 0.5000  1.77
Ni 0.0000 0.5000 0.5000  1.74
Rh 0.5000 0.5000 0.0000  0.08
O 0.0000 0.2569 0.7576  0.08
O 0.5000 0.7420 0.7358  0.10
O 0.0000 0.7431 0.2424  0.08
O 0.5000 0.2580 0.2642  0.10
Li 0.0000 0.0000 0.0000  0.01

The total DFT energy (no corrections) is -5.33 eV/atom.

---

[7]
Computed, not measured: a geometry-optimized LiNiRh2O4 structure at the GGA+U level of DFT.

abc: 4.3164 4.3164 5.2558
angles: 114.25 114.25 89.99
Site moments in Bohr magnetons follow the coordinates.
Fractional coordinates of all 8 atoms:
Ni 0.4374 0.4374 0.0000  1.77
Rh 0.6862 0.1862 0.5000  -0.11
Rh 0.1862 0.6862 0.5000  -0.11
Li 0.9372 0.9372 0.0000  0.00
O 0.9380 0.4384 0.0000  0.03
O 0.6754 0.6754 0.4769  0.04
O 0.4384 0.9380 0.0000  0.03
O 0.1984 0.1984 0.5231  0.04

The total DFT energy (no corrections) is -5.61 eV/atom.

---

[8]
Computed, not measured: a geometry-optimized Li2NiRhO4 structure at the GGA+U level of DFT.

abc: 2.8247 5.4544 5.8869
angles: 59.41 90.00 90.00
Site moments in Bohr magnetons follow the coordinates.
Fractional coordinates of all 8 atoms:
O 0.5000 0.2087 0.7174  0.11
O 0.0000 0.3333 0.2538  0.01
O 0.0000 0.6667 0.7462  0.01
O 0.5000 0.7913 0.2826  0.11
Li 0.0000 0.0000 0.0000  0.00
Li 0.5000 0.0000 0.5000  0.00
Ni 0.5000 0.5000 0.0000  0.00
Rh 0.0000 0.5000 0.5000  0.69

The total DFT energy (no corrections) is -5.40 eV/atom.

---

[9]
Computed, not measured: a geometry-optimized Li2NiRh2O6 structure at the GGA+U level of DFT.

abc: 5.1865 5.1865 5.1830
angles: 99.68 99.68 119.03
Site moments in Bohr magnetons follow the coordinates.
Fractional coordinates of all 11 atoms:
O 0.5847 0.9396 0.2833  0.11
O 0.2481 0.2481 0.2656  0.18
O 0.9396 0.5847 0.2833  0.11
O 0.7519 0.7519 0.7344  0.18
O 0.4153 0.0604 0.7167  0.11
O 0.0604 0.4153 0.7167  0.11
Li 0.1674 0.8326 0.0000  0.01
Li 0.8326 0.1674 0.0000  0.01
Rh 0.3417 0.6583 0.5000  0.63
Rh 0.6583 0.3417 0.5000  0.63
Ni 0.0000 0.0000 0.5000  1.76

The total DFT energy (no corrections) is -5.74 eV/atom.

---

[10]
Computed, not measured: a geometry-optimized Li3NiRh3O8 structure at the GGA+U level of DFT.

abc: 6.0804 6.0798 5.9452
angles: 120.77 90.00 120.00
Site moments in Bohr magnetons follow the coordinates.
Fractional coordinates of all 15 atoms:
Ni 0.0000 0.0000 0.5000  1.59
O 0.2388 0.4777 0.7173  -0.08
O 0.2559 0.5119 0.2680  0.01
O 0.7398 0.9786 0.7173  -0.08
O 0.7441 0.4881 0.7320  0.01
O 0.7612 0.0214 0.2827  -0.08
O 0.2388 0.9786 0.7173  -0.08
O 0.7612 0.5223 0.2827  -0.08
O 0.2602 0.0214 0.2827  -0.08
Li 0.5000 0.5000 0.0000  0.00
Li 0.0000 0.0000 0.0000  0.00
Li 0.0000 0.5000 0.0000  0.00
Rh 0.5000 0.0000 0.5000  -0.35
Rh 0.5000 0.5000 0.5000  -0.35
Rh 0.0000 0.5000 0.5000  -0.35

The total DFT energy (no corrections) is -5.80 eV/atom.

---

[11]
Computed, not measured: a geometry-optimized Li3Ni2RhO6 structure at the GGA+U level of DFT.

abc: 5.1730 5.1730 5.0952
angles: 99.82 99.82 120.00
Site moments in Bohr magnetons follow the coordinates.
Fractional coordinates of all 12 atoms:
Li 0.8322 0.1678 0.5000  0.00
Li 0.5000 0.5000 0.5000  0.00
Li 0.1678 0.8322 0.5000  0.00
Ni 0.3332 0.6668 0.0000  1.67
Ni 0.6668 0.3332 0.0000  1.67
O 0.9225 0.5984 0.7681  -0.06
O 0.4016 0.0775 0.2319  -0.06
O 0.2471 0.2471 0.7706  -0.07
O 0.5984 0.9225 0.7681  -0.06
O 0.7529 0.7529 0.2294  -0.07
O 0.0775 0.4016 0.2319  -0.06
Rh 0.0000 0.0000 0.0000  -0.90

The total DFT energy (no corrections) is -5.33 eV/atom.

---

[12]
Computed, not measured: a geometry-optimized Li2Ni2RhO6 structure at the GGA+U level of DFT.

abc: 5.1050 5.1050 5.1576
angles: 100.59 100.59 118.41
Site moments in Bohr magnetons follow the coordinates.
Fractional coordinates of all 11 atoms:
O 0.2481 0.2481 0.2843  -0.14
O 0.7519 0.7519 0.7157  -0.14
O 0.4028 0.0619 0.7201  -0.14
O 0.0619 0.4028 0.7201  -0.14
O 0.9381 0.5972 0.2799  -0.14
O 0.5972 0.9381 0.2799  -0.14
Ni 0.6638 0.3362 0.5000  1.47
Ni 0.3362 0.6638 0.5000  1.47
Li 0.8269 0.1731 0.0000  0.00
Li 0.1731 0.8269 0.0000  0.00
Rh 0.0000 0.0000 0.5000  -0.90

The total DFT energy (no corrections) is -5.30 eV/atom.